1.
A plane-wave DFT calculation with PBE-GGA was carried out for Nd7Se5S after structural relaxation.

```
Nd7Se5S
1.0
-3.2204 2.5073 -0.2477
-1.6148 -4.9137 5.0032
10.4770 15.1568 17.2041
S Nd Se
2 14 10
Direct
0.1853 0.3706 0.7277
0.8153 0.6307 0.2724
0.3646 0.7292 0.5387
0.0923 0.1847 0.6166
0.4595 0.9190 0.2482
0.3574 0.7147 0.9617
0.9082 0.8164 0.3834
0.5411 0.0822 0.7518
0.6359 0.2718 0.4613
0.1961 0.3921 0.3214
0.2098 0.4197 0.1827
0.0717 0.1433 0.8912
0.7908 0.5816 0.8173
0.9290 0.8579 0.1088
0.6432 0.2865 0.0383
0.8045 0.6089 0.6786
0.5691 0.1381 0.1475
0.2782 0.5563 0.4289
0.4490 0.8980 0.6469
0.0003 0.0006 0.0000
0.4316 0.8631 0.8525
0.5515 0.1031 0.3530
0.2843 0.5685 0.0737
0.7163 0.4326 0.9263
0.7224 0.4447 0.5711
0.0003 0.0005 0.5000
```

Energy relative to the elements, uncorrected: -1644 meV/atom
Final energy: -76.29 eV per formula unit
ρ: 6.71 Mg/m³

2.
A plane-wave DFT calculation with PBE-GGA was carried out for Ce2Nd3Sn4 after structural relaxation.

```
Ce2Nd3Sn4
1.0
8.2343 -0.2240 0.0000
-2.9299 8.0871 0.0000
0.0000 0.0000 8.5280
Sn Nd Ce
8 6 4
Direct
0.6740 0.9167 0.0323
0.1307 0.5136 0.8677
0.8260 0.0833 0.5323
0.6307 0.5136 0.6323
0.8693 0.4864 0.1323
0.1740 0.9167 0.4677
0.3260 0.0833 0.9677
0.3693 0.4864 0.3677
0.5000 0.5000 0.0000
0.2293 0.2414 0.6682
0.2707 0.7586 0.1682
0.0000 0.5000 0.5000
0.7293 0.2414 0.8318
0.7707 0.7586 0.3318
0.4390 0.8048 0.6824
0.0610 0.1952 0.1824
0.9390 0.8048 0.8176
0.5609 0.1952 0.3176
```

Final energy: -48.27 eV per formula unit
ρ: 7.02 Mg/m³

3.
A plane-wave DFT calculation with PBE-GGA was carried out for HoPaSb2 after structural relaxation.

```
HoPaSb2
1.0
3.7990 0.0000 0.0000
0.0000 5.2669 0.0000
0.0000 0.0000 5.2669
Pa Ho Sb
1 1 2
Direct
0.5000 0.0000 0.0000
0.5000 0.5000 0.5000
0.0000 0.0000 0.5000
0.0000 0.5000 0.0000
```

Energy relative to the elements, uncorrected: -613 meV/atom
Final energy: -24.77 eV per formula unit
ρ: 10.08 Mg/m³
Offset from the most stable computed form: 0.59 eV/f.u.

4.
A plane-wave DFT calculation with PBE-GGA was carried out for CaCoSi after structural relaxation.

```
CaCoSi
1.0
5.3798 0.0000 -0.0011
0.0000 4.1293 0.0000
-2.6849 0.0000 10.7340
Co Ca Si
4 4 4
Direct
0.8738 0.5000 0.6958
0.8738 0.0000 0.1958
0.1262 0.0000 0.8042
0.1262 0.5000 0.3042
0.6874 0.0000 0.8929
0.3126 0.0000 0.1071
0.3126 0.5000 0.6071
0.6874 0.5000 0.3929
0.8020 0.5000 0.1292
0.1980 0.5000 0.8708
0.8020 0.0000 0.6292
0.1980 0.0000 0.3708
```

Energy relative to the elements, uncorrected: -416 meV/atom
Final energy: -15.78 eV per formula unit
ρ: 3.54 Mg/m³

Q: Which of these has the lowest final energy?
A: Nd7Se5S